{"formula": "NaCa2InIr", "functional": "PBE-GGA", "state": "relaxed", "e_form_ev_per_atom": -0.238, "spacegroup": "No. 123", "magmom_total_mub_per_cell": 0.000, "lattice": [[5.512, 0.000, 0.000], [0.000, 5.512, 0.000], [0.000, 0.000, 5.263]], "species": ["Na", "Ca", "Ca", "In", "Ir"], "frac_coords": [[0.000, 0.000, 0.000], [0.000, 0.500, 0.500], [0.500, 0.000, 0.500], [0.500, 0.500, 0.000], [0.500, 0.500, 0.500]]}